DFT (PBE-GGA) results for a relaxed structure of La2InSn.

Output
Symmetry: R-3m (166)
Uncorrected energy in eV per atom: -4.55

Cell: 8.279 8.279 8.279 Å, 32.40 32.40 32.40°
Fractional positions:
La 0.242 0.242 0.242
La 0.758 0.758 0.758
In 0.000 0.000 0.000
Sn 0.500 0.500 0.500


DFT (PBE-GGA) results for a relaxed structure of SrLa2InSn.

Output
Symmetry: P4/mmm (123)
Uncorrected energy in eV per atom: -2.93

Cell: 5.836 5.836 5.837 Å, 90.00 90.00 90.00°
Fractional positions:
Sr 0.000 0.000 0.000
La 0.000 0.500 0.000
La 0.500 0.000 0.000
In 0.500 0.500 0.500
Sn 0.000 0.000 0.500


DFT (PBE-GGA) results for a relaxed structure of LaTbInSn.

Output
Symmetry: Amm2 (38)
Uncorrected energy in eV per atom: -4.70

Cell: 4.416 6.345 6.345 Å, 43.38 90.00 90.00°
Fractional positions:
La 0.000 0.000 0.000
Tb 0.500 0.726 0.726
In 0.500 0.444 0.444
Sn 0.000 0.276 0.276


DFT (PBE-GGA) results for a relaxed structure of LaTbInSn.

Output
Symmetry: F-43m (216)
Uncorrected energy in eV per atom: -4.63

Cell: 5.476 5.476 5.476 Å, 60.00 60.00 60.00°
Fractional positions:
La 0.000 0.000 0.000
Tb 0.500 0.500 0.500
In 0.750 0.750 0.750
Sn 0.250 0.250 0.250


DFT (PBE-GGA) results for a relaxed structure of La2In3SnTe6.

Output
E_form (uncorrected) in meV/atom: -778
Symmetry: C2/m (12)
Uncorrected energy in eV per atom: -4.19

Cell: 10.517 10.517 9.409 Å, 104.88 104.88 25.08°
Fractional positions:
La 0.164 0.164 0.331
La 0.836 0.836 0.669
In 0.168 0.168 0.836
In 0.500 0.500 0.500
In 0.832 0.832 0.164
Sn 0.500 0.500 0.000
Te 0.002 0.002 0.248
Te 0.330 0.330 0.424
Te 0.337 0.337 0.909
Te 0.663 0.663 0.091
Te 0.670 0.670 0.576
Te 0.998 0.998 0.752


DFT (PBE-GGA) results for a relaxed structure of LaInSnTe2.

Output
E_form (uncorrected) in meV/atom: -95
Symmetry: P4/mmm (123)
Uncorrected energy in eV per atom: -3.69

Cell: 5.707 5.707 5.414 Å, 90.00 90.00 90.00°
Fractional positions:
La 0.000 0.000 0.000
In 0.500 0.500 0.500
Sn 0.500 0.500 0.000
Te 0.000 0.500 0.500
Te 0.500 0.000 0.500


DFT (PBE-GGA) results for a relaxed structure of LaTlInSn.

Output
Symmetry: F-43m (216)
Uncorrected energy in eV per atom: -3.78

Cell: 5.485 5.485 5.485 Å, 60.00 60.00 60.00°
Fractional positions:
La 0.000 0.000 0.000
Tl 0.250 0.250 0.250
In 0.500 0.500 0.500
Sn 0.750 0.750 0.750


DFT (PBE-GGA) results for a relaxed structure of LaTlInSn.

Output
Symmetry: Pmmm (47)
Uncorrected energy in eV per atom: -3.99

Cell: 4.715 4.777 4.991 Å, 90.00 90.00 90.00°
Fractional positions:
La 0.000 0.000 0.000
Tl 0.500 0.000 0.500
In 0.000 0.500 0.500
Sn 0.500 0.500 0.000


DFT (PBE-GGA) results for a relaxed structure of LaTmInSn.

Output
Symmetry: F-43m (216)
Uncorrected energy in eV per atom: -4.56

Cell: 5.440 5.440 5.440 Å, 60.00 60.00 60.00°
Fractional positions:
La 0.000 0.000 0.000
Tm 0.500 0.500 0.500
In 0.250 0.250 0.250
Sn 0.750 0.750 0.750


DFT (PBE-GGA) results for a relaxed structure of LaYInSn.

Output
Symmetry: Amm2 (38)
Uncorrected energy in eV per atom: -5.17

Cell: 4.413 6.336 6.336 Å, 43.39 90.00 90.00°
Fractional positions:
La 0.000 0.000 0.000
Y 0.500 0.726 0.726
In 0.500 0.444 0.444
Sn 0.000 0.275 0.275


DFT (PBE-GGA) results for a relaxed structure of SrLaIn.

Output
Symmetry: Pnma (62)
Uncorrected energy in eV per atom: -3.19

Cell: 9.769 7.028 5.633 Å, 90.00 90.00 90.00°
Fractional positions:
Sr 0.166 0.250 0.000
Sr 0.334 0.750 0.500
Sr 0.666 0.250 0.500
Sr 0.834 0.750 0.000
La 0.167 0.750 0.001
La 0.333 0.250 0.501
La 0.667 0.750 0.499
La 0.833 0.250 0.999
In 0.000 0.000 0.500
In 0.000 0.500 0.500
In 0.500 0.000 0.000
In 0.500 0.500 0.000


DFT (PBE-GGA) results for a relaxed structure of SrLa3In.

Output
Symmetry: Pm-3m (221)
Uncorrected energy in eV per atom: -3.03

Cell: 5.858 5.858 5.858 Å, 90.00 90.00 90.00°
Fractional positions:
Sr 0.000 0.000 0.000
La 0.000 0.000 0.500
La 0.000 0.500 0.000
La 0.500 0.000 0.000
In 0.500 0.500 0.500